{"formula": "RbSrSn6", "functional": "PBE", "state": "relaxed", "m_tot_mub_per_atom": 0.000, "total_energy_ev_per_atom": -3.5504, "density_g_cm3": 5.7, "spacegroup": "Amm2", "formation_enthalpy_0k_ev_per_atom": -0.217, "cell": [[5.710, 0.000, 0.000], [0.000, 3.609, 6.229], [0.000, -3.609, 6.229]], "species": ["Rb", "Sr", "Sn", "Sn", "Sn", "Sn", "Sn", "Sn"], "fractional_positions": [[0.000, 0.000, 0.000], [0.500, 0.332, 0.332], [0.000, 0.524, 0.524], [0.000, 0.526, 0.948], [0.000, 0.948, 0.526], [0.500, 0.383, 0.806], [0.500, 0.806, 0.383], [0.500, 0.808, 0.808]]}